Run one
LiAu2Se: optimized geometry, PBE.

Calculated density, g/cm³: 10.469
Space group: No. 35
Total moment, μB per formula unit: 0.00

abc: 2.8074 2.8074 9.6566
angles: 90.00 90.00 90.24
Fractional coordinates of all 4 atoms:
Au 0.0000 0.0000 0.0423
Au 0.5000 0.5000 0.2814
Li 0.0000 0.0000 0.4891
Se 0.5000 0.5000 0.6872

Run two
LiAu2Se: optimized geometry, PBE.

Calculated density, g/cm³: 10.684
Space group: No. 65
Total moment, μB per formula unit: 0.00

abc: 2.7672 2.7672 9.7496
angles: 90.00 90.00 92.70
Fractional coordinates of all 4 atoms:
Li 0.5000 0.5000 0.2500
Au 0.0000 0.0000 0.0513
Se 0.5000 0.5000 0.7500
Au 0.0000 0.0000 0.4487

Which structure is the most stable? The one labeled run one.

Run one
TaVRh: optimized geometry, PBE.

Calculated density, g/cm³: 12.195
Space group: No. 99
Total moment, μB per formula unit: 0.00

abc: 2.9573 2.9573 10.4254
angles: 90.00 90.00 90.00
Fractional coordinates of all 6 atoms:
Rh 0.0000 0.0000 0.8623
Rh 0.0000 0.0000 0.4896
V 0.5000 0.5000 0.3380
V 0.0000 0.0000 0.1977
Ta 0.5000 0.5000 0.0337
Ta 0.5000 0.5000 0.6755

Run two
TaVRh: optimized geometry, PBE.

Calculated density, g/cm³: 11.983
Space group: No. 15
Total moment, μB per formula unit: 0.00

abc: 5.9929 9.3393 4.4618
angles: 90.00 132.00 90.00
Fractional coordinates of all 12 atoms:
Rh 0.7500 0.2465 0.7500
V 0.2500 0.9292 0.7500
Rh 0.7500 0.7465 0.2500
Ta 0.2500 0.0921 0.2500
V 0.7500 0.0708 0.2500
V 0.7500 0.5708 0.7500
V 0.2500 0.4292 0.2500
Rh 0.2500 0.7535 0.2500
Ta 0.2500 0.5921 0.7500
Ta 0.7500 0.4079 0.2500
Rh 0.2500 0.2535 0.7500
Ta 0.7500 0.9079 0.7500

Which structure is the most stable? The one labeled run one.

Run one
YMg2W: optimized geometry, PBE.

Calculated density, g/cm³: 6.218
Space group: No. 44
Total moment, μB per formula unit: 0.00

abc: 6.0123 6.0123 6.0123
angles: 149.86 127.49 61.75
Fractional coordinates of all 4 atoms:
Mg 0.2612 0.7612 0.5000
W 0.4915 0.4915 0.0000
Mg 0.0127 0.0127 0.0000
Y 0.7346 0.2346 0.5000

Run two
YMg2W: optimized geometry, PBE.

Calculated density, g/cm³: 6.297
Space group: No. 139
Total moment, μB per formula unit: 1.06

abc: 5.4279 5.4279 5.4279
angles: 132.71 132.71 69.11
Fractional coordinates of all 4 atoms:
Mg 0.0000 0.0000 0.0000
W 0.2500 0.7500 0.5000
Mg 0.5000 0.5000 0.0000
Y 0.7500 0.2500 0.5000

Which structure is the most stable? The one labeled run two.

Run one
LaAuBr2: optimized geometry, PBE.

Calculated density, g/cm³: 7.838
Space group: No. 216
Total moment, μB per formula unit: 0.00

abc: 5.2956 5.2956 5.2956
angles: 60.00 60.00 60.00
Fractional coordinates of all 4 atoms:
La 0.7500 0.7500 0.7500
Br 0.2500 0.2500 0.2500
Au 0.5000 0.5000 0.5000
Br 0.0000 0.0000 0.0000

Run two
LaAuBr2: optimized geometry, PBE.

Calculated density, g/cm³: 8.007
Space group: No. 123
Total moment, μB per formula unit: 0.00

abc: 4.7720 4.7685 4.5177
angles: 90.00 90.00 90.00
Fractional coordinates of all 4 atoms:
Br 0.0000 0.0000 0.0000
Br 0.5000 0.5000 0.0000
La 0.5000 0.0000 0.5000
Au 0.0000 0.5000 0.5000

Which structure is the most stable? The one labeled run one.

Run one
Ca2BeSb: optimized geometry, PBE.

Calculated density, g/cm³: 3.336
Space group: No. 119
Total moment, μB per formula unit: 0.00

abc: 6.1878 6.1878 6.1878
angles: 137.98 137.98 60.94
Fractional coordinates of all 4 atoms:
Ca 0.2500 0.7500 0.5000
Be 0.7500 0.2500 0.5000
Ca 0.0000 0.0000 0.0000
Sb 0.5000 0.5000 0.0000

Run two
Ca2BeSb: optimized geometry, PBE.

Calculated density, g/cm³: 2.558
Space group: No. 122
Total moment, μB per formula unit: 0.00

abc: 5.4216 5.4216 10.0744
angles: 74.39 74.39 90.00
Fractional coordinates of all 8 atoms:
Ca 0.3750 0.3914 0.7500
Ca 0.8750 0.8586 0.7500
Be 0.2500 0.7500 0.5000
Sb 0.7500 0.2500 0.5000
Be 0.5000 0.5000 0.0000
Ca 0.1414 0.6250 0.2500
Ca 0.6086 0.1250 0.2500
Sb 0.0000 0.0000 0.0000

Which structure is the most stable? The one labeled run one.